[1]
First-principles (PBE) data for an optimized crystal structure of MgGa2AgPd, as listed in Alexandria.

total magnetization	0.0	μB per formula unit
N(E_F)	6.089	states/eV per cell
formation enthalpy at 0 K	-1.3	eV per formula unit

Lattice parameters (Å, degrees): 3.0961 11.6779 9.8854 90.00 90.00 90.00
Space group Cmcm (No. 63)
Symmetry-distinct sites (fractional):
Mg  0.0000  0.0280  0.2500 (multiplicity 4)
Ga  0.0000  0.2901  0.6013 (multiplicity 8)
Ag  0.0000  0.5000  0.0000 (multiplicity 4)
Pd  0.0000  0.3349  0.2500 (multiplicity 4)

[2]
First-principles (PBE) data for an optimized crystal structure of Mg3Ga4Ag2Pd2, as listed in Alexandria.

total magnetization	0.0	μB per formula unit
N(E_F)	4.359	states/eV per cell
formation enthalpy at 0 K	-3.3	eV per formula unit

Lattice parameters (Å, degrees): 4.4892 4.4892 11.4114 90.00 90.00 120.00
Space group P-3m1 (No. 164)
Symmetry-distinct sites (fractional):
Mg  0.0000  0.0000  0.0000 (multiplicity 1)
Mg  0.0000  0.0000  0.2609 (multiplicity 2)
Ga  0.3333  0.6667  0.3564 (multiplicity 2)
Ga  0.3333  0.6667  0.8733 (multiplicity 2)
Ag  0.3333  0.6667  0.5906 (multiplicity 2)
Pd  0.3333  0.6667  0.1250 (multiplicity 2)

[3]
First-principles (PBE) data for an optimized crystal structure of PmMgGaAg, as listed in Alexandria.

total magnetization	0.0	μB per formula unit
N(E_F)	5.484	states/eV per cell
formation enthalpy at 0 K	-1.7	eV per formula unit

Lattice parameters (Å, degrees): 7.0481 7.0481 7.0481 90.00 90.00 90.00
Space group F-43m (No. 216)
Symmetry-distinct sites (fractional):
Pm  0.0000  0.0000  0.0000 (multiplicity 4)
Mg  0.0000  0.0000  0.5000 (multiplicity 4)
Ga  0.2500  0.2500  0.7500 (multiplicity 4)
Ag  0.2500  0.2500  0.2500 (multiplicity 4)

[4]
First-principles (PBE) data for an optimized crystal structure of Pm2MgGa3Ag4, as listed in Alexandria.

total magnetization	0.0	μB per formula unit
N(E_F)	7.043	states/eV per cell
formation enthalpy at 0 K	-3.4	eV per formula unit

Lattice parameters (Å, degrees): 4.2956 4.2956 11.5485 90.00 90.00 90.00
Space group P-4m2 (No. 115)
Symmetry-distinct sites (fractional):
Pm  0.0000  0.5000  0.2345 (multiplicity 2)
Mg  0.0000  0.0000  0.5000 (multiplicity 1)
Ga  0.0000  0.5000  0.8656 (multiplicity 2)
Ga  0.5000  0.5000  0.5000 (multiplicity 1)
Ag  0.0000  0.0000  0.0000 (multiplicity 1)
Ag  0.0000  0.5000  0.6446 (multiplicity 2)
Ag  0.5000  0.5000  0.0000 (multiplicity 1)

[5]
First-principles (PBE) data for an optimized crystal structure of PmMg2Ga2Ag, as listed in Alexandria.

total magnetization	0.0	μB per formula unit
N(E_F)	9.193	states/eV per cell
formation enthalpy at 0 K	0.4	eV per formula unit

Lattice parameters (Å, degrees): 5.2455 5.2455 11.0205 90.00 90.00 90.00
Space group I4/mmm (No. 139)
Symmetry-distinct sites (fractional):
Pm  0.0000  0.0000  0.0000 (multiplicity 2)
Mg  0.0000  0.5000  0.2500 (multiplicity 4)
Ga  0.0000  0.0000  0.2751 (multiplicity 4)
Ag  0.0000  0.0000  0.5000 (multiplicity 2)

[6]
First-principles (PBE) data for an optimized crystal structure of PmMg2GaAg4, as listed in Alexandria.

total magnetization	0.0	μB per formula unit
N(E_F)	10.136	states/eV per cell
formation enthalpy at 0 K	-1.5	eV per formula unit

Lattice parameters (Å, degrees): 4.6576 4.6576 26.3502 90.00 90.00 120.00
Space group R-3m (No. 166, hexagonal axes)
Symmetry-distinct sites (fractional):
Pm  0.0000  0.0000  0.0000 (multiplicity 3)
Mg  0.0000  0.0000  0.2431 (multiplicity 6)
Ga  0.0000  0.0000  0.5000 (multiplicity 3)
Ag  0.0000  0.0000  0.1294 (multiplicity 6)
Ag  0.0000  0.0000  0.3965 (multiplicity 6)

[7]
First-principles (PBE) data for an optimized crystal structure of PrMg2GaAg4, as listed in Alexandria.

total magnetization	0.0	μB per formula unit
N(E_F)	11.187	states/eV per cell
formation enthalpy at 0 K	-1.5	eV per formula unit

Lattice parameters (Å, degrees): 4.6524 4.6524 26.8917 90.00 90.00 120.00
Space group R-3m (No. 166, hexagonal axes)
Symmetry-distinct sites (fractional):
Pr  0.0000  0.0000  0.0000 (multiplicity 3)
Mg  0.0000  0.0000  0.2413 (multiplicity 6)
Ga  0.0000  0.0000  0.5000 (multiplicity 3)
Ag  0.0000  0.0000  0.1302 (multiplicity 6)
Ag  0.0000  0.0000  0.3987 (multiplicity 6)

[8]
First-principles (PBE) data for an optimized crystal structure of PrMg2GaAg2, as listed in Alexandria.

total magnetization	0.0	μB per formula unit
N(E_F)	7.766	states/eV per cell
formation enthalpy at 0 K	0.0	eV per formula unit

Lattice parameters (Å, degrees): 5.1608 5.1608 11.4056 90.00 90.00 90.00
Space group I4/mmm (No. 139)
Symmetry-distinct sites (fractional):
Pr  0.0000  0.0000  0.0000 (multiplicity 2)
Mg  0.0000  0.5000  0.2500 (multiplicity 4)
Ga  0.0000  0.0000  0.5000 (multiplicity 2)
Ag  0.0000  0.0000  0.2836 (multiplicity 4)

[9]
First-principles (PBE) data for an optimized crystal structure of PrMgGaAg, as listed in Alexandria.

total magnetization	0.0	μB per formula unit
N(E_F)	4.841	states/eV per cell
formation enthalpy at 0 K	-1.6	eV per formula unit

Lattice parameters (Å, degrees): 7.1193 7.1193 7.1193 90.00 90.00 90.00
Space group F-43m (No. 216)
Symmetry-distinct sites (fractional):
Pr  0.0000  0.0000  0.0000 (multiplicity 4)
Mg  0.0000  0.0000  0.5000 (multiplicity 4)
Ga  0.2500  0.2500  0.2500 (multiplicity 4)
Ag  0.2500  0.2500  0.7500 (multiplicity 4)

[10]
First-principles (PBE) data for an optimized crystal structure of MgGaAgPt, as listed in Alexandria.

total magnetization	0.0	μB per formula unit
N(E_F)	1.280	states/eV per cell
formation enthalpy at 0 K	-1.6	eV per formula unit

Lattice parameters (Å, degrees): 2.9608 4.3113 5.2778 90.00 90.00 90.00
Space group Pmm2 (No. 25)
Symmetry-distinct sites (fractional):
Mg  0.0000  0.0000  0.0000 (multiplicity 1)
Ga  0.5000  0.0000  0.5293 (multiplicity 1)
Ag  0.0000  0.5000  0.3315 (multiplicity 1)
Pt  0.5000  0.5000  0.8242 (multiplicity 1)

[11]
First-principles (PBE) data for an optimized crystal structure of MgGaAg2Pt, as listed in Alexandria.

total magnetization	0.0	μB per formula unit
N(E_F)	2.327	states/eV per cell
formation enthalpy at 0 K	1.1	eV per formula unit

Lattice parameters (Å, degrees): 4.8158 4.8158 4.7186 90.00 90.00 90.00
Space group P4/mmm (No. 123)
Symmetry-distinct sites (fractional):
Mg  0.0000  0.0000  0.0000 (multiplicity 1)
Ga  0.5000  0.5000  0.5000 (multiplicity 1)
Ag  0.0000  0.5000  0.5000 (multiplicity 2)
Pt  0.5000  0.5000  0.0000 (multiplicity 1)

[12]
First-principles (PBE) data for an optimized crystal structure of Mg2GaAgPt, as listed in Alexandria.

total magnetization	0.0	μB per formula unit
N(E_F)	1.528	states/eV per cell
formation enthalpy at 0 K	1.1	eV per formula unit

Lattice parameters (Å, degrees): 4.9536 4.9536 4.6259 90.00 90.00 90.00
Space group P4/mmm (No. 123)
Symmetry-distinct sites (fractional):
Mg  0.0000  0.5000  0.0000 (multiplicity 2)
Ga  0.0000  0.0000  0.0000 (multiplicity 1)
Ag  0.5000  0.5000  0.5000 (multiplicity 1)
Pt  0.0000  0.0000  0.5000 (multiplicity 1)

[13]
First-principles (PBE) data for an optimized crystal structure of MgGaAgPt, as listed in Alexandria.

total magnetization	0.0	μB per formula unit
N(E_F)	1.082	states/eV per cell
formation enthalpy at 0 K	-1.7	eV per formula unit

Lattice parameters (Å, degrees): 3.2096 3.2096 6.5135 90.00 90.00 90.00
Space group P4mm (No. 99)
Symmetry-distinct sites (fractional):
Mg  0.0000  0.0000  0.0000 (multiplicity 1)
Ga  0.0000  0.0000  0.4622 (multiplicity 1)
Ag  0.5000  0.5000  0.7243 (multiplicity 1)
Pt  0.5000  0.5000  0.2492 (multiplicity 1)

[14]
First-principles (PBE) data for an optimized crystal structure of MgGaAgPt, as listed in Alexandria.

total magnetization	0.0	μB per formula unit
N(E_F)	1.200	states/eV per cell
formation enthalpy at 0 K	-1.8	eV per formula unit

Lattice parameters (Å, degrees): 9.3382 3.3280 4.5205 90.00 108.50 90.00
Space group Cm (No. 8)
Symmetry-distinct sites (fractional):
Mg  0.0000  0.0000  0.0000 (multiplicity 2)
Ga  0.2381  0.0000  0.6502 (multiplicity 2)
Ag  0.2527  0.5000  0.1790 (multiplicity 2)
Pt  0.0124  0.5000  0.5278 (multiplicity 2)

[15]
First-principles (PBE) data for an optimized crystal structure of MgGaAgPt, as listed in Alexandria.

total magnetization	0.0	μB per formula unit
N(E_F)	1.066	states/eV per cell
formation enthalpy at 0 K	-1.7	eV per formula unit

Lattice parameters (Å, degrees): 3.4720 4.3114 4.3748 90.00 90.00 90.00
Space group Pmmm (No. 47)
Symmetry-distinct sites (fractional):
Mg  0.0000  0.0000  0.0000 (multiplicity 1)
Ga  0.0000  0.5000  0.5000 (multiplicity 1)
Ag  0.5000  0.5000  0.0000 (multiplicity 1)
Pt  0.5000  0.0000  0.5000 (multiplicity 1)

[16]
First-principles (PBE) data for an optimized crystal structure of MgGaAgPt, as listed in Alexandria.

total magnetization	0.0	μB per formula unit
N(E_F)	1.777	states/eV per cell
formation enthalpy at 0 K	-1.7	eV per formula unit

Lattice parameters (Å, degrees): 2.9565 4.1584 5.7434 90.00 104.82 90.00
Space group Pm (No. 6)
Symmetry-distinct sites (fractional):
Mg  0.0000  0.0000  0.0000 (multiplicity 1)
Ga  0.7332  0.0000  0.4717 (multiplicity 1)
Ag  0.3441  0.5000  0.6906 (multiplicity 1)
Pt  0.6020  0.5000  0.2062 (multiplicity 1)

[17]
First-principles (PBE) data for an optimized crystal structure of MgGaAgPt, as listed in Alexandria.

total magnetization	0.0	μB per formula unit
N(E_F)	1.682	states/eV per cell
formation enthalpy at 0 K	-1.6	eV per formula unit

Lattice parameters (Å, degrees): 3.2650 2.9671 7.4556 90.00 102.01 90.00
Space group Pm (No. 6)
Symmetry-distinct sites (fractional):
Mg  0.0000  0.0000  0.0000 (multiplicity 1)
Ga  0.7947  0.0000  0.5664 (multiplicity 1)
Ag  0.6253  0.5000  0.2588 (multiplicity 1)
Pt  0.3888  0.5000  0.7678 (multiplicity 1)

[18]
First-principles (PBE) data for an optimized crystal structure of MgGaAgPt, as listed in Alexandria.

total magnetization	0.0	μB per formula unit
N(E_F)	1.085	states/eV per cell
formation enthalpy at 0 K	-1.8	eV per formula unit

Lattice parameters (Å, degrees): 3.8583 3.8583 8.8010 90.00 90.00 90.00
Space group I-4m2 (No. 119)
Symmetry-distinct sites (fractional):
Mg  0.0000  0.0000  0.0000 (multiplicity 2)
Ga  0.0000  0.5000  0.7500 (multiplicity 2)
Ag  0.0000  0.0000  0.5000 (multiplicity 2)
Pt  0.0000  0.5000  0.2500 (multiplicity 2)

[19]
First-principles (PBE) data for an optimized crystal structure of MgGaAgPt, as listed in Alexandria.

total magnetization	0.0	μB per formula unit
N(E_F)	1.311	states/eV per cell
formation enthalpy at 0 K	-1.5	eV per formula unit

Lattice parameters (Å, degrees): 3.2230 3.6432 5.7769 90.00 90.00 90.00
Space group Pmm2 (No. 25)
Symmetry-distinct sites (fractional):
Mg  0.0000  0.0000  0.0000 (multiplicity 1)
Ga  0.5000  0.5000  0.2941 (multiplicity 1)
Ag  0.5000  0.5000  0.7717 (multiplicity 1)
Pt  0.0000  0.0000  0.4733 (multiplicity 1)

[20]
First-principles (PBE) data for an optimized crystal structure of PuMgGaAg, as listed in Alexandria.

total magnetization	5.5	μB per formula unit
N(E_F)	40.514	states/eV per cell
formation enthalpy at 0 K	-0.6	eV per formula unit

Lattice parameters (Å, degrees): 7.0052 7.0052 7.0052 90.00 90.00 90.00
Space group F-43m (No. 216)
Symmetry-distinct sites (fractional):
Pu  0.0000  0.0000  0.0000 (multiplicity 4)
Mg  0.0000  0.0000  0.5000 (multiplicity 4)
Ga  0.2500  0.2500  0.2500 (multiplicity 4)
Ag  0.2500  0.2500  0.7500 (multiplicity 4)

[21]
First-principles (PBE) data for an optimized crystal structure of Mg3Ga3AgRu2, as listed in Alexandria.

total magnetization	0.0	μB per formula unit
N(E_F)	5.423	states/eV per cell
formation enthalpy at 0 K	-1.0	eV per formula unit

Lattice parameters (Å, degrees): 7.4648 7.4648 3.0541 90.00 90.00 120.00
Space group P-62m (No. 189)
Symmetry-distinct sites (fractional):
Mg  0.0000  0.7073  0.0000 (multiplicity 3)
Ga  0.0000  0.3914  0.5000 (multiplicity 3)
Ag  0.0000  0.0000  0.5000 (multiplicity 1)
Ru  0.3333  0.6667  0.0000 (multiplicity 2)

[22]
First-principles (PBE) data for an optimized crystal structure of MgGaAg2Ru, as listed in Alexandria.

total magnetization	1.2	μB per formula unit
N(E_F)	3.007	states/eV per cell
formation enthalpy at 0 K	5.0	eV per formula unit

Lattice parameters (Å, degrees): 4.7703 4.7703 4.7475 90.00 90.00 90.00
Space group P4/mmm (No. 123)
Symmetry-distinct sites (fractional):
Mg  0.0000  0.0000  0.0000 (multiplicity 1)
Ga  0.5000  0.5000  0.5000 (multiplicity 1)
Ag  0.0000  0.5000  0.0000 (multiplicity 2)
Ru  0.0000  0.0000  0.5000 (multiplicity 1)

[23]
First-principles (PBE) data for an optimized crystal structure of MgGaAgRu, as listed in Alexandria.

total magnetization	0.0	μB per formula unit
N(E_F)	11.372	states/eV per cell
formation enthalpy at 0 K	-0.4	eV per formula unit

Lattice parameters (Å, degrees): 6.2897 6.2897 6.2897 90.00 90.00 90.00
Space group F-43m (No. 216)
Symmetry-distinct sites (fractional):
Mg  0.0000  0.0000  0.0000 (multiplicity 4)
Ga  0.0000  0.0000  0.5000 (multiplicity 4)
Ag  0.2500  0.2500  0.7500 (multiplicity 4)
Ru  0.2500  0.2500  0.2500 (multiplicity 4)

[24]
First-principles (PBE) data for an optimized crystal structure of Mg2GaAgS4, as listed in Alexandria.

total magnetization	0.0	μB per formula unit
N(E_F)	0.000	states/eV per cell
raw formation energy	-7.74	eV/f.u.

Lattice parameters (Å, degrees): 8.1711 8.1724 10.8219 90.00 90.00 90.00
Space group Fmm2 (No. 42)
Symmetry-distinct sites (fractional):
Mg  0.2500  0.2500  0.0000 (multiplicity 8)
Ga  0.0000  0.0000  0.2502 (multiplicity 4)
Ag  0.0000  0.0000  0.7495 (multiplicity 4)
S  0.0000  0.2291  0.1261 (multiplicity 8)
S  0.2293  0.0000  0.3739 (multiplicity 8)

[25]
First-principles (PBE) data for an optimized crystal structure of MgGaAg2S4, as listed in Alexandria.

total magnetization	0.0	μB per formula unit
N(E_F)	15.028	states/eV per cell
raw formation energy	-4.37	eV/f.u.

Lattice parameters (Å, degrees): 5.7553 5.7553 10.9933 90.00 90.00 90.00
Space group I-4 (No. 82)
Symmetry-distinct sites (fractional):
Mg  0.0000  0.0000  0.0000 (multiplicity 2)
Ga  0.0000  0.5000  0.2500 (multiplicity 2)
Ag  0.0000  0.0000  0.5000 (multiplicity 2)
Ag  0.0000  0.5000  0.7500 (multiplicity 2)
S  0.2272  0.2635  0.1307 (multiplicity 8)

[26]
First-principles (PBE) data for an optimized crystal structure of MgSc4Ga2Ag, as listed in Alexandria.

total magnetization	0.0	μB per formula unit
N(E_F)	18.260	states/eV per cell
formation enthalpy at 0 K	-3.3	eV per formula unit

Lattice parameters (Å, degrees): 4.8334 4.8334 23.7674 90.00 90.00 120.00
Space group R-3m (No. 166, hexagonal axes)
Symmetry-distinct sites (fractional):
Mg  0.0000  0.0000  0.0000 (multiplicity 3)
Sc  0.0000  0.0000  0.1281 (multiplicity 6)
Sc  0.0000  0.0000  0.3787 (multiplicity 6)
Ga  0.0000  0.0000  0.2545 (multiplicity 6)
Ag  0.0000  0.0000  0.5000 (multiplicity 3)

[27]
First-principles (PBE) data for an optimized crystal structure of SmMgGaAg, as listed in Alexandria.

total magnetization	0.0	μB per formula unit
N(E_F)	5.984	states/eV per cell
formation enthalpy at 0 K	-1.7	eV per formula unit

Lattice parameters (Å, degrees): 7.0243 7.0243 7.0243 90.00 90.00 90.00
Space group F-43m (No. 216)
Symmetry-distinct sites (fractional):
Sm  0.0000  0.0000  0.0000 (multiplicity 4)
Mg  0.0000  0.0000  0.5000 (multiplicity 4)
Ga  0.2500  0.2500  0.7500 (multiplicity 4)
Ag  0.2500  0.2500  0.2500 (multiplicity 4)